# ScCuBPt

ScCuBPt after structural relaxation (PBE, OQMD via LeMat-Bulk).

## Properties
* calculated density: 9575 kg/m3
* energy above the most stable polymorph in this dataset: 0.0 meV/atom

Unit cell a=4.2563 b=4.2563 c=4.2563 alpha=60.00 beta=60.00 gamma=60.00
Fractional positions:
B 0.0000 0.0000 0.0000
Cu 0.7500 0.7500 0.7500
Pt 0.2500 0.2500 0.2500
Sc 0.5000 0.5000 0.5000


# Ag2PbSe2

Ag2PbSe2 after structural relaxation (PBE, OQMD via LeMat-Bulk).

## Properties
* calculated density: 7361 kg/m3
* energy above the most stable polymorph in this dataset: 119.4 meV/atom

Unit cell a=10.1700 b=8.6174 c=5.9803 alpha=90.00 beta=90.00 gamma=90.00
Fractional positions:
Ag 0.3133 0.2500 0.0000
Ag 0.6867 0.7500 0.0000
Ag 0.0957 0.1008 0.2500
Ag 0.9043 0.6008 0.2500
Ag 0.3133 0.2500 0.5000
Ag 0.6867 0.7500 0.5000
Ag 0.0957 0.3992 0.7500
Ag 0.9043 0.8992 0.7500
Pb 0.6537 0.1023 0.2500
Pb 0.3463 0.6023 0.2500
Pb 0.6537 0.3977 0.7500
Pb 0.3463 0.8977 0.7500
Se 0.1106 0.4187 0.2500
Se 0.6234 0.4899 0.2500
Se 0.8894 0.9187 0.2500
Se 0.3766 0.9899 0.2500
Se 0.6234 0.0101 0.7500
Se 0.1106 0.0813 0.7500
Se 0.3766 0.5101 0.7500
Se 0.8894 0.5813 0.7500